Model P:
The following is a DFT calculation (PBE-GGA) of crystalline Er3ThAl8 at its relaxed geometry.

The structure in extended XYZ format:
```
12
Lattice="5.5475 0.0000 0.0000 -2.7738 4.8043 0.0000 0.0000 0.0000 9.2103" Properties=species:S:1:pos:R:3 pbc="T T T"
Er 0.0000 0.0000 0.0000
Er 0.0000 0.0000 3.3632
Er 0.0000 3.2029 7.9889
Th 0.0000 3.2029 4.6107
Al -1.3537 2.4213 1.6746
Al 1.3568 0.7834 6.3369
Al 1.3537 2.4213 1.6746
Al 0.0000 4.7659 1.6746
Al 2.7738 1.6014 3.9685
Al 2.7738 1.6014 8.6387
Al 4.1907 0.7834 6.3369
Al 2.7738 3.2376 6.3369
```

***

Model Q:
The following is a DFT calculation (PBE-GGA) of crystalline Er3ThAl8 at its relaxed geometry.

The structure in extended XYZ format:
```
12
Lattice="2.7869 1.6090 9.1137 -2.7869 1.6090 9.1137 0.0000 -3.2181 9.1137" Properties=species:S:1:pos:R:3 pbc="T T T"
Er 0.0000 0.0000 0.0000
Er 0.0000 0.0000 3.3952
Er 0.0000 0.0000 13.6248
Th 0.0000 0.0000 17.0666
Al 0.0000 -1.6053 6.2142
Al -1.3902 0.8026 6.2142
Al -1.3917 -0.8035 10.8249
Al 0.0000 0.0000 8.5395
Al 1.3902 0.8026 6.2142
Al 1.3917 -0.8035 10.8250
Al 0.0000 1.6070 10.8250
Al 0.0000 0.0000 22.1754
```

***

Relative energies in eV/atom: model P 0.013; model Q 0.000